Entry 1:
The following is a PBE calculation of an optimized crystal structure of GdBi2As, from Alexandria via LeMat-Bulk.

a = 3.8649 Å, b = 3.8649 Å, c = 30.4153 Å
α = 90.00°, β = 90.00°, γ = 120.00°
Space group R-3m (No. 166, hexagonal axes)
Unique sites:
Gd (0.0000, 0.0000, 0.0000) (multiplicity 3)
Bi (0.0000, 0.0000, 0.1044) (multiplicity 6)
As (0.0000, 0.0000, 0.5000) (multiplicity 3)

## Properties
**Calculated formation energy**: 0.75 eV per formula unit
**E**: -6.434 eV per atom
**DOS at the Fermi energy**: 18.0 states/eV per cell



Entry 2:
The following is a PBE calculation of an optimized crystal structure of GeBi3As, from Alexandria via LeMat-Bulk.

a = 5.547 Å, b = 5.547 Å, c = 5.547 Å
α = 90.00°, β = 90.00°, γ = 90.00°
Space group Pm-3m (No. 221)
Unique sites:
Ge (0.000, 0.000, 0.000) (multiplicity 1)
Bi (0.000, 0.500, 0.500) (multiplicity 3)
As (0.500, 0.500, 0.500) (multiplicity 1)

## Properties
**Calculated formation energy**: 3.58 eV per formula unit
**E**: -3.467 eV per atom
**Energy relative to the lowest polymorph listed for this composition**: 0 meV/atom
**DOS at the Fermi energy**: 6.6 states/eV per cell



Entry 3:
The following is a PBE calculation of an optimized crystal structure of GeBi2As2, from Alexandria via LeMat-Bulk.

a = 3.809 Å, b = 3.809 Å, c = 17.660 Å
α = 90.00°, β = 90.00°, γ = 90.00°
Space group I4/mmm (No. 139)
Unique sites:
Ge (0.000, 0.000, 0.000) (multiplicity 2)
Bi (0.000, 0.000, 0.405) (multiplicity 4)
As (0.000, 0.500, 0.250) (multiplicity 4)

## Properties
**Calculated formation energy**: 1.20 eV per formula unit
**E**: -4.097 eV per atom
**Energy relative to the lowest polymorph listed for this composition**: 0 meV/atom
**DOS at the Fermi energy**: 6.1 states/eV per cell



Entry 4:
The following is a PBE calculation of an optimized crystal structure of GeBi2As, from Alexandria via LeMat-Bulk.

a = 6.345 Å, b = 6.345 Å, c = 14.521 Å
α = 90.00°, β = 90.00°, γ = 90.00°
Space group I-42d (No. 122)
Unique sites:
Ge (0.000, 0.000, 0.000) (multiplicity 4)
Bi (0.250, 0.250, 0.125) (multiplicity 8)
As (0.000, 0.000, 0.500) (multiplicity 4)

## Properties
**Calculated formation energy**: 1.22 eV per formula unit
**E**: -3.953 eV per atom
**Energy relative to the lowest polymorph listed for this composition**: 21 meV/atom
**DOS at the Fermi energy**: 10.0 states/eV per cell



Entry 5:
The following is a PBE calculation of an optimized crystal structure of GeBiAs, from Alexandria via LeMat-Bulk.

a = 3.9865 Å, b = 3.9865 Å, c = 5.3875 Å
α = 90.00°, β = 90.00°, γ = 120.00°
Space group P3m1 (No. 156)
Unique sites:
Ge (0.0000, 0.0000, 0.0000) (multiplicity 1)
Bi (0.3333, 0.6667, 0.6239) (multiplicity 1)
As (0.6667, 0.3333, 0.2554) (multiplicity 1)

## Properties
**Calculated formation energy**: 0.38 eV per formula unit
**E**: -4.257 eV per atom
**Energy relative to the lowest polymorph listed for this composition**: 23 meV/atom
**DOS at the Fermi energy**: 0.8 states/eV per cell



Entry 6:
The following is a PBE calculation of an optimized crystal structure of GeBiAs, from Alexandria via LeMat-Bulk.

a = 3.685 Å, b = 7.293 Å, c = 6.350 Å
α = 90.00°, β = 90.00°, γ = 90.00°
Space group Pmn2_1 (No. 31)
Unique sites:
Ge (0.000, 0.101, 0.000) (multiplicity 2)
Bi (0.000, 0.404, 0.280) (multiplicity 2)
As (0.000, 0.115, 0.590) (multiplicity 2)

## Properties
**Calculated formation energy**: 0.31 eV per formula unit
**E**: -4.280 eV per atom
**Energy relative to the lowest polymorph listed for this composition**: 0 meV/atom
**DOS at the Fermi energy**: 1.9 states/eV per cell



Entry 7:
The following is a PBE calculation of an optimized crystal structure of Ge2BiAs4, from Alexandria via LeMat-Bulk.

a = 7.538 Å, b = 7.548 Å, c = 7.549 Å
α = 108.40°, β = 110.42°, γ = 109.54°
Space group P1 (No. 1)
Unique sites:
Ge (0.000, 0.000, 0.000) (multiplicity 1)
Ge (0.001, 0.001, 0.501) (multiplicity 1)
Ge (0.001, 0.501, 0.500) (multiplicity 1)
Ge (0.500, 0.500, 0.499) (multiplicity 1)
Bi (0.374, 0.750, 0.124) (multiplicity 1)
Bi (0.627, 0.251, 0.877) (multiplicity 1)
As (0.124, 0.422, 0.202) (multiplicity 1)
As (0.220, 0.922, 0.797) (multiplicity 1)
As (0.299, 0.426, 0.724) (multiplicity 1)
As (0.300, 0.075, 0.374) (multiplicity 1)
As (0.701, 0.926, 0.626) (multiplicity 1)
As (0.702, 0.576, 0.276) (multiplicity 1)
As (0.782, 0.080, 0.203) (multiplicity 1)
As (0.877, 0.580, 0.798) (multiplicity 1)

## Properties
**Calculated formation energy**: 1.64 eV per formula unit
**E**: -4.296 eV per atom
**DOS at the Fermi energy**: 6.8 states/eV per cell



Entry 8:
The following is a PBE calculation of an optimized crystal structure of GeBi2As, from Alexandria via LeMat-Bulk.

a = 7.425 Å, b = 7.425 Å, c = 7.425 Å
α = 90.00°, β = 90.00°, γ = 90.00°
Space group Fm-3m (No. 225)
Unique sites:
Ge (0.000, 0.000, 0.000) (multiplicity 4)
Bi (0.250, 0.250, 0.250) (multiplicity 8)
As (0.000, 0.000, 0.500) (multiplicity 4)

## Properties
**Calculated formation energy**: 1.13 eV per formula unit
**E**: -3.974 eV per atom
**Energy relative to the lowest polymorph listed for this composition**: 0 meV/atom
**DOS at the Fermi energy**: 10.2 states/eV per cell



Entry 9:
The following is a PBE calculation of an optimized crystal structure of GeBi2As2, from Alexandria via LeMat-Bulk.

a = 7.958 Å, b = 7.958 Å, c = 4.044 Å
α = 90.00°, β = 90.00°, γ = 90.00°
Space group P4/mbm (No. 127)
Unique sites:
Ge (0.000, 0.000, 0.000) (multiplicity 2)
Bi (0.156, 0.344, 0.500) (multiplicity 4)
As (0.161, 0.661, 0.000) (multiplicity 4)

## Properties
**Calculated formation energy**: 1.25 eV per formula unit
**E**: -4.085 eV per atom
**Energy relative to the lowest polymorph listed for this composition**: 11 meV/atom
**DOS at the Fermi energy**: 6.4 states/eV per cell



Entry 10:
The following is a PBE calculation of an optimized crystal structure of GeBiAs2Pd, from Alexandria via LeMat-Bulk.

a = 4.852 Å, b = 4.852 Å, c = 5.482 Å
α = 90.00°, β = 90.00°, γ = 90.00°
Space group P4/mmm (No. 123)
Unique sites:
Ge (0.000, 0.000, 0.000) (multiplicity 1)
Bi (0.000, 0.000, 0.500) (multiplicity 1)
As (0.000, 0.500, 0.000) (multiplicity 2)
Pd (0.500, 0.500, 0.500) (multiplicity 1)

## Properties
**Calculated formation energy**: 4.22 eV per formula unit
**E**: -3.754 eV per atom
**DOS at the Fermi energy**: 3.3 states/eV per cell



Entry 11:
The following is a PBE calculation of an optimized crystal structure of GeBiAsSe2, from Alexandria via LeMat-Bulk.

a = 5.008 Å, b = 5.008 Å, c = 4.987 Å
α = 90.00°, β = 90.00°, γ = 90.00°
Space group P4/mmm (No. 123)
Unique sites:
Ge (0.000, 0.000, 0.000) (multiplicity 1)
Bi (0.500, 0.500, 0.500) (multiplicity 1)
As (0.000, 0.000, 0.500) (multiplicity 1)
Se (0.000, 0.500, 0.000) (multiplicity 2)

## Properties
**E**: -3.687 eV per atom
**Energy relative to the lowest polymorph listed for this composition**: 0 meV/atom
**DOS at the Fermi energy**: 2.0 states/eV per cell



Entry 12:
The following is a PBE calculation of an optimized crystal structure of GeBiAsSe2, from Alexandria via LeMat-Bulk.

a = 5.466 Å, b = 5.466 Å, c = 5.427 Å
α = 90.00°, β = 90.00°, γ = 90.00°
Space group P4/mmm (No. 123)
Unique sites:
Ge (0.000, 0.000, 0.000) (multiplicity 1)
Bi (0.500, 0.500, 0.500) (multiplicity 1)
As (0.500, 0.500, 0.000) (multiplicity 1)
Se (0.000, 0.500, 0.500) (multiplicity 2)

## Properties
**E**: -3.216 eV per atom
**Energy relative to the lowest polymorph listed for this composition**: 472 meV/atom
**DOS at the Fermi energy**: 6.5 states/eV per cell